Compound: Ba2CdInSe5
Source: the Alexandria database
Functional: PBE
Structure: relaxed

a b c (Å): 4.353 10.285 12.793
angles (deg): 90.00 90.00 102.22
Site moments in Bohr magnetons follow the coordinates.
Sites, in units of the cell vectors:
Se: 0.507 0.014 0.770  0.01
Se: 0.493 0.986 0.270  0.01
Se: 0.960 0.919 0.561  0.01
Se: 0.308 0.616 0.393  0.15
Se: 0.635 0.269 0.490  0.01
Se: 0.365 0.731 0.990  0.01
Se: 0.715 0.431 0.162  0.20
Se: 0.040 0.081 0.061  0.01
Se: 0.285 0.569 0.662  0.20
Se: 0.692 0.384 0.893  0.15
Ba: 0.883 0.767 0.176  0.01
Ba: 0.117 0.233 0.676  0.01
Ba: 0.118 0.236 0.299  0.00
Ba: 0.882 0.764 0.799  0.00
Cd: 0.765 0.529 0.522  0.01
Cd: 0.235 0.471 0.022  0.01
In: 0.436 0.873 0.451  0.00
In: 0.564 0.127 0.951  0.00

Output
Its volume is 31.097 A^3/atom. The value obtained for the energy relative to the elements, uncorrected is -1.124 eV per atom.